Density functional theory data (PBE-GGA) for KLiN2 after structural relaxation.

Lattice parameters (Å, degrees): 7.554 7.554 7.554 150.50 150.50 42.21
Fractional coordinates of all 8 atoms:
K 0.375 0.625 0.750
K 0.625 0.375 0.250
Li 0.125 0.875 0.250
Li 0.875 0.125 0.750
N 0.000 0.000 0.000
N 0.000 0.000 0.500
N 0.000 0.500 0.000
N 0.500 0.000 0.500

Computed properties:
SG: I4_1/amd
distance to the lowest polymorph of the same formula: 0.000 eV/atom

Density functional theory data (PBE-GGA) for Ba2ZrRu after structural relaxation.

Lattice parameters (Å, degrees): 3.929 3.705 9.898 90.00 101.16 90.00
Fractional coordinates of all 4 atoms:
Ba 0.000 0.000 0.000
Ba 0.289 0.500 0.600
Zr 0.637 0.500 0.280
Ru 0.157 0.000 0.321

Computed properties:
SG: Pm
distance to the lowest polymorph of the same formula: 0.028 eV/atom

Density functional theory data (PBE-GGA) for Ba6Te3AsBr2 after structural relaxation.

Lattice parameters (Å, degrees): 8.502 8.502 8.425 99.64 99.64 119.94
Fractional coordinates of all 12 atoms:
Ba 0.082 0.397 0.744
Ba 0.231 0.231 0.253
Ba 0.397 0.082 0.744
Ba 0.603 0.918 0.256
Ba 0.769 0.769 0.747
Ba 0.918 0.603 0.256
Te 0.172 0.828 0.000
Te 0.500 0.500 0.000
Te 0.828 0.172 0.000
As 0.000 0.000 0.500
Br 0.334 0.666 0.500
Br 0.666 0.334 0.500

Computed properties:
calculated total energy: -4.117 eV/atom
SG: C2/m

Density functional theory data (PBE-GGA) for Cs6Sb2Pt after structural relaxation.

Lattice parameters (Å, degrees): 12.086 12.086 12.086 31.47 31.47 31.47
Fractional coordinates of all 9 atoms:
Cs 0.080 0.080 0.080
Cs 0.194 0.194 0.194
Cs 0.309 0.309 0.309
Cs 0.691 0.691 0.691
Cs 0.806 0.806 0.806
Cs 0.920 0.920 0.920
Sb 0.422 0.422 0.422
Sb 0.578 0.578 0.578
Pt 0.500 0.500 0.500

Computed properties:
calculated total energy: -2.459 eV/atom
SG: R-3m

Density functional theory data (PBE-GGA) for V2S5 after structural relaxation.

Lattice parameters (Å, degrees): 4.318 13.924 6.471 90.00 90.00 90.00
Fractional coordinates of all 14 atoms:
V 0.250 0.102 0.101
V 0.250 0.398 0.101
V 0.750 0.602 0.899
V 0.750 0.898 0.899
S 0.250 0.112 0.412
S 0.250 0.250 0.964
S 0.250 0.388 0.412
S 0.250 0.568 0.022
S 0.250 0.932 0.022
S 0.750 0.068 0.978
S 0.750 0.432 0.978
S 0.750 0.612 0.588
S 0.750 0.750 0.036
S 0.750 0.888 0.588

Computed properties:
SG: Pmmn
distance to the lowest polymorph of the same formula: 0.009 eV/atom

Density functional theory data (PBE-GGA) for LaNd2ErBi4 after structural relaxation.

Lattice parameters (Å, degrees): 7.951 4.601 7.963 90.00 109.47 90.00
Fractional coordinates of all 8 atoms:
La 0.000 0.000 0.000
Nd 0.000 0.500 0.500
Nd 0.500 0.000 0.500
Er 0.500 0.500 0.000
Bi 0.256 0.500 0.249
Bi 0.259 0.000 0.756
Bi 0.741 0.000 0.244
Bi 0.744 0.500 0.751

Computed properties:
calculated total energy: -5.250 eV/atom
SG: P2/m